Record 1
Below is a relaxed structure of La3BeH, with properties calculated at the PBE-GGA level.

abc: 4.965 4.965 4.965
angles: 90.00 90.00 90.00
Space group Pm-3m (No. 221)
Unique sites:
La 0.000 0.000 0.500 [3 per cell]
Be 0.500 0.500 0.500 [1 per cell]
H 0.000 0.000 0.000 [1 per cell]

Computed properties:
Size of the total moment = 0.0 μB/f.u.
Density of states at the Fermi level = 7.519 states/eV/f.u.

Record 2
Below is a relaxed structure of LaBe2H, with properties calculated at the PBE-GGA level.

abc: 5.322 5.322 7.551
angles: 90.00 90.00 90.00
Space group I4_1/amd (No. 141, origin choice 2)
Unique sites:
La 0.000 0.250 0.375 [4 per cell]
Be 0.000 0.000 0.000 [8 per cell]
H 0.000 0.250 0.875 [4 per cell]

Computed properties:
Size of the total moment = 0.0 μB/f.u.
Density of states at the Fermi level = 2.186 states/eV/f.u.

Record 3
Below is a relaxed structure of LaBeH, with properties calculated at the PBE-GGA level.

abc: 4.129 4.110 6.208
angles: 90.00 106.84 90.00
Space group Pm (No. 6)
Unique sites:
La 0.000 0.000 0.000 [1 per cell]
La 0.302 0.500 0.547 [1 per cell]
Be 0.613 0.500 0.187 [1 per cell]
Be 0.716 0.000 0.368 [1 per cell]
H 0.239 0.500 0.158 [1 per cell]
H 0.637 0.500 0.949 [1 per cell]

Computed properties:
Size of the total moment = 0.1 μB/f.u.
Density of states at the Fermi level = 1.843 states/eV/f.u.

Record 4
Below is a relaxed structure of LaBe2H2, with properties calculated at the PBE-GGA level.

abc: 6.289 6.289 3.219
angles: 90.00 90.00 90.00
Space group P4/mbm (No. 127)
Unique sites:
La 0.000 0.000 0.000 [2 per cell]
Be 0.114 0.386 0.500 [4 per cell]
H 0.113 0.613 0.000 [4 per cell]

Computed properties:
Size of the total moment = 0.0 μB/f.u.
Density of states at the Fermi level = 1.942 states/eV/f.u.

| no. | uncorrected energy (eV per atom) |
| --- | --- |
| 1 | -4.278 |
| 2 | -3.626 |
| 3 | -4.165 |
| 4 | -3.183 |